Ce3Hg5S12 | Alexandria via LeMat-Bulk | PBE | relaxed; total magnetic moment = 0.00 μB/f.u.; volume = 24.6 A^3/atom; ρ = 6.1 g cm⁻³; formation energy (no corrections) = -0.69 eV/atom
1.0
13.668 0.000 0.000
-4.556 12.886 0.000
-4.556 -6.443 11.160
S Hg Ce
48 20 12
Direct
0.863 0.275 0.447 S
0.725 0.587 0.171 S
0.447 0.671 0.084 S
0.587 0.725 0.671 S
0.084 0.171 0.447 S
0.637 0.053 0.225 S
0.087 0.916 0.363 S
0.775 0.447 0.363 S
0.775 0.329 0.913 S
0.053 0.637 0.725 S
0.413 0.137 0.584 S
0.171 0.084 0.947 S
0.947 0.363 0.275 S
0.087 0.171 0.225 S
0.553 0.225 0.137 S
0.416 0.363 0.587 S
0.275 0.863 0.947 S
0.947 0.584 0.171 S
0.671 0.447 0.584 S
0.553 0.329 0.916 S
0.916 0.829 0.553 S
0.084 0.913 0.137 S
0.329 0.775 0.413 S
0.584 0.637 0.413 S
0.863 0.587 0.916 S
0.363 0.947 0.775 S
0.413 0.275 0.329 S
0.637 0.584 0.913 S
0.829 0.913 0.275 S
0.584 0.947 0.671 S
0.053 0.416 0.829 S
0.329 0.553 0.416 S
0.913 0.084 0.637 S
0.587 0.863 0.416 S
0.725 0.137 0.053 S
0.916 0.087 0.863 S
0.171 0.087 0.725 S
0.275 0.413 0.829 S
0.447 0.775 0.863 S
0.363 0.416 0.087 S
0.671 0.225 0.587 S
0.829 0.916 0.053 S
0.137 0.725 0.553 S
0.913 0.829 0.775 S
0.137 0.413 0.084 S
0.225 0.553 0.637 S
0.416 0.053 0.329 S
0.225 0.671 0.087 S
0.375 0.250 0.125 Hg
0.000 0.500 0.000 Hg
0.875 0.625 0.750 Hg
0.125 0.750 0.375 Hg
0.625 0.750 0.875 Hg
0.375 0.125 0.750 Hg
0.875 0.250 0.625 Hg
0.500 0.000 0.500 Hg
0.750 0.625 0.375 Hg
0.250 0.375 0.625 Hg
0.000 0.000 0.000 Hg
0.250 0.875 0.125 Hg
0.625 0.875 0.250 Hg
0.500 0.000 0.000 Hg
0.500 0.500 0.000 Hg
0.000 0.000 0.500 Hg
0.000 0.500 0.500 Hg
0.500 0.500 0.500 Hg
0.750 0.125 0.875 Hg
0.125 0.375 0.250 Hg
0.375 0.625 0.250 Ce
0.125 0.875 0.750 Ce
0.750 0.875 0.625 Ce
0.250 0.125 0.375 Ce
0.625 0.250 0.375 Ce
0.125 0.250 0.875 Ce
0.750 0.375 0.125 Ce
0.875 0.750 0.125 Ce
0.375 0.750 0.625 Ce
0.250 0.625 0.875 Ce
0.875 0.125 0.250 Ce
0.625 0.375 0.750 Ce

PaTl3Cu2O9 | Alexandria via LeMat-Bulk | PBE | relaxed; total magnetic moment = 0.00 μB/f.u.; volume = 13.3 A^3/atom; ρ = 9.3 g cm⁻³; formation energy (no corrections) = -1.03 eV/atom
1.0
5.667 0.000 0.000
-2.834 4.908 0.000
0.000 0.000 7.155
O Cu Tl Pa
9 2 3 1
Direct
0.500 0.000 0.000 O
0.171 0.342 0.317 O
0.342 0.171 0.683 O
0.500 0.500 0.000 O
0.829 0.171 0.683 O
0.000 0.500 0.000 O
0.829 0.658 0.683 O
0.171 0.829 0.317 O
0.658 0.829 0.317 O
0.333 0.667 0.162 Cu
0.667 0.333 0.838 Cu
0.000 0.000 0.000 Tl
0.333 0.667 0.730 Tl
0.667 0.333 0.270 Tl
0.000 0.000 0.500 Pa

PmNdSm2 | Alexandria via LeMat-Bulk | PBE | relaxed; total magnetic moment = 0.00 μB/f.u.; volume = 34.2 A^3/atom; relative energy among the computed polymorphs = 18 meV per atom; ρ = 7.2 g cm⁻³
1.0
5.149 0.000 0.000
0.000 5.156 0.000
0.000 0.000 5.156
Sm Pm Nd
2 1 1
Direct
0.000 0.000 0.500 Sm
0.000 0.500 0.000 Sm
0.500 0.500 0.500 Pm
0.500 0.000 0.000 Nd

Ho3Ga2Ru3 | Alexandria via LeMat-Bulk | PBE | relaxed; total magnetic moment = 0.00 μB/f.u.; volume = 19.7 A^3/atom; ρ = 9.9 g cm⁻³; E_tot = -0.2355 Ha/atom
1.0
-2.037 1.871 5.057
-0.254 -7.101 2.525
13.587 1.291 4.996
Ru Ho Ga
12 12 8
Direct
0.120 0.178 0.250 Ru
0.091 0.190 0.535 Ru
0.909 0.810 0.465 Ru
0.409 0.690 0.535 Ru
0.591 0.310 0.465 Ru
0.591 0.310 0.035 Ru
0.409 0.690 0.965 Ru
0.091 0.190 0.965 Ru
0.880 0.822 0.750 Ru
0.909 0.810 0.035 Ru
0.620 0.322 0.750 Ru
0.380 0.678 0.250 Ru
0.143 0.470 0.394 Ho
0.394 0.682 0.750 Ho
0.357 0.970 0.106 Ho
0.857 0.530 0.894 Ho
0.894 0.818 0.250 Ho
0.143 0.470 0.106 Ho
0.106 0.182 0.750 Ho
0.857 0.530 0.606 Ho
0.606 0.318 0.250 Ho
0.643 0.030 0.894 Ho
0.643 0.030 0.606 Ho
0.357 0.970 0.394 Ho
0.630 0.608 0.391 Ga
0.130 0.892 0.609 Ga
0.870 0.108 0.391 Ga
0.370 0.392 0.609 Ga
0.630 0.608 0.109 Ga
0.870 0.108 0.109 Ga
0.130 0.892 0.891 Ga
0.370 0.392 0.891 Ga

La2SiAu | Alexandria via LeMat-Bulk | PBE | relaxed; total magnetic moment = 0.00 μB/f.u.; volume = 27.2 A^3/atom; ρ = 7.7 g cm⁻³; formation energy (no corrections) = -0.72 eV/atom
1.0
-4.355 0.626 0.380
-0.681 -1.091 -6.000
-0.635 -7.257 4.679
La Au Si
4 2 2
Direct
0.750 0.214 0.923 La
0.250 0.786 0.077 La
0.250 0.776 0.568 La
0.750 0.224 0.432 La
0.250 0.360 0.715 Au
0.750 0.640 0.285 Au
0.250 0.337 0.208 Si
0.750 0.663 0.792 Si

Sb2OsCl | Alexandria via LeMat-Bulk | PBE | relaxed; total magnetic moment = 0.00 μB/f.u.; volume = 23.0 A^3/atom; relative energy among the computed polymorphs = 532 meV per atom; ρ = 8.5 g cm⁻³; formation energy (no corrections) = 0.52 eV/atom
1.0
3.495 0.000 0.000
0.000 3.495 0.000
0.000 0.000 7.516
Cl Sb Os
1 2 1
Direct
0.000 0.000 0.536 Cl
0.000 0.000 0.948 Sb
0.500 0.500 0.204 Sb
0.500 0.500 0.811 Os